# 1
DFT (GGA-PBE) results for an optimized crystal structure of BiSb.

Computed properties:
offset from the most stable computed form	19	meV/atom
space-group type	No. 51
E_form (uncorrected)	0.0121	eV/atom
density	7.99	Mg/m³
N(E_F)	0.44	states/eV/cell

Cell: 4.4462 6.3966 4.8355 Å, 90.00 90.00 90.00°
With the nearest neighbours (Å) after each atom.
Fractional coordinates of all 4 atoms:
Bi 0.7500 0.0000 0.2172  2 Bi 3.06, 2 Sb 3.22
Bi 0.2500 0.0000 0.7828  2 Bi 3.06, 2 Sb 3.22
Sb 0.7500 0.5000 0.3013  2 Sb 2.94, 2 Bi 3.22
Sb 0.2500 0.5000 0.6987  2 Sb 2.94, 2 Bi 3.22

=====

# 2
DFT (GGA-PBE) results for an optimized crystal structure of LaTbI.

Computed properties:
offset from the most stable computed form	0	meV/atom
space-group type	No. 63
E_form (uncorrected)	-0.5083	eV/atom
density	6.80	Mg/m³
N(E_F)	7.04	states/eV/cell

Cell: 5.6131 3.7683 9.9925 Å, 79.13 90.00 90.00°
With the nearest neighbours (Å) after each atom.
Fractional coordinates of all 6 atoms:
I 0.2500 0.3099 0.3802  1 Tb 3.15, 1 La 3.46
I 0.7500 0.6901 0.6198  1 Tb 3.15, 1 La 3.46
Tb 0.2500 0.4705 0.0591  2 Tb 3.04, 1 I 3.15
Tb 0.7500 0.5295 0.9409  2 Tb 3.04, 1 I 3.15
La 0.7500 0.8663 0.2674  5 I 3.46-3.56, 2 Tb 3.72, 2 La 3.77
La 0.2500 0.1337 0.7326  5 I 3.46-3.56, 2 Tb 3.72, 2 La 3.77

=====

# 3
DFT (GGA-PBE) results for an optimized crystal structure of Li2ZrTl3.

Computed properties:
energy of formation	-0.15	eV/atom
space-group type	No. 123
density	9.35	Mg/m³
N(E_F)	1.80	states/eV/cell

Cell: 3.4407 3.4407 10.7713 Å, 90.00 90.00 90.00°
With the nearest neighbours (Å) after each atom.
Fractional coordinates of all 6 atoms:
Zr 0.5000 0.5000 0.5000  8 Tl 3.14, 4 Zr 3.44
Tl 0.0000 0.0000 0.6848  4 Li 2.95, 4 Zr 3.14
Tl 0.0000 0.0000 0.3152  4 Li 2.95, 4 Zr 3.14
Tl 0.0000 0.0000 0.0000  8 Li 2.99
Li 0.5000 0.5000 0.1606  8 Tl 2.95-2.99
Li 0.5000 0.5000 0.8394  8 Tl 2.95-2.99

=====

# 4
DFT (GGA-PBE) results for an optimized crystal structure of La5HN4.

Computed properties:
offset from the most stable computed form	0	meV/atom
space-group type	No. 12
density	6.73	Mg/m³
N(E_F)	3.08	states/eV/cell

Cell: 3.7299 6.4853 8.3721 Å, 75.64 77.13 73.29°
With the nearest neighbours (Å) after each atom.
Fractional coordinates of all 10 atoms:
La 0.7943 0.0994 0.3119  5 N 2.49-2.75, 1 H 2.74
La 0.0000 0.5000 0.5000  6 N 2.68
La 0.6056 0.6770 0.1117  4 N 2.47-2.68, 2 H 2.76
La 0.2057 0.9006 0.6881  5 N 2.49-2.75, 1 H 2.74
La 0.3944 0.3230 0.8883  4 N 2.47-2.68, 2 H 2.76
H 0.0000 0.0000 0.0000  6 La 2.74-2.76
N 0.6068 0.1909 0.5955  6 La 2.49-2.68
N 0.8034 0.5832 0.8100  6 La 2.47-2.75
N 0.3932 0.8091 0.4045  6 La 2.49-2.68
N 0.1966 0.4168 0.1900  6 La 2.47-2.75

=====

# 5
DFT (GGA-PBE) results for an optimized crystal structure of ScOsRu.

Computed properties:
offset from the most stable computed form	572	meV/atom
energy of formation	0.23	eV/atom
space-group type	No. 216
density	10.10	Mg/m³
N(E_F)	3.81	states/eV/cell

Cell: 4.2762 4.2762 4.2762 Å, 60.00 60.00 60.00°
With the nearest neighbours (Å) after each atom.
Fractional coordinates of all 3 atoms:
Os 0.5000 0.5000 0.5000  4 Ru 2.62
Sc 0.0000 0.0000 0.0000  4 Ru 2.62
Ru 0.7500 0.7500 0.7500  4 Os 2.62, 4 Sc 2.62

=====

# 6
DFT (GGA-PBE) results for an optimized crystal structure of VAgW.

Computed properties:
energy of formation	0.79	eV/atom
space-group type	No. 69
density	10.86	Mg/m³
N(E_F)	5.33	states/eV/cell

Cell: 5.1115 4.8399 5.6052 Å, 76.07 62.87 58.13°
With the nearest neighbours (Å) after each atom.
Fractional coordinates of all 6 atoms:
W 0.2500 0.5000 0.5000  2 W 2.56, 4 V 2.64
W 0.7500 0.5000 0.5000  2 W 2.56, 4 V 2.64
V 0.3556 0.0000 0.2888  4 W 2.64, 1 V 2.88
V 0.6444 0.0000 0.7112  4 W 2.64, 1 V 2.88
Ag 0.8319 0.3362 0.0000  3 Ag 2.76-2.89, 4 W 2.88, 2 V 3.09
Ag 0.1681 0.6638 0.0000  3 Ag 2.76-2.89, 4 W 2.88, 2 V 3.09